No. 1
Material: Be2CuNiMo
Method: DFT, PBE
State: optimized geometry

VASP energy (eV/atom): -4.807
ΔE_f (eV/atom): 0.825
DOS(E_F) (states/eV/cell): 3.88

abc: 3.8793 3.8793 4.2190
angles: 90.00 90.00 90.00
Closest atoms and distances in Å follow each position.
Space group P4/mmm (No. 123)
One atom of each set of equivalent atoms:
Be (0.0000, 0.5000, 0.0000) (multiplicity 2)  2 Cu 1.94
Cu (0.0000, 0.0000, 0.0000) (multiplicity 1)  4 Be 1.94, 2 Ni 2.11
Ni (0.0000, 0.0000, 0.5000) (multiplicity 1)  2 Cu 2.11
Mo (0.5000, 0.5000, 0.5000) (multiplicity 1)  4 Ni 2.74, 8 Be 2.87

No. 2
Material: BeCuReMo2
Method: DFT, PBE
State: optimized geometry

VASP energy (eV/atom): -7.699
ΔE_f (eV/atom): 0.688
DOS(E_F) (states/eV/cell): 2.41

abc: 4.2627 4.2627 3.8105
angles: 90.00 90.00 90.00
Closest atoms and distances in Å follow each position.
Space group P4/mmm (No. 123)
One atom of each set of equivalent atoms:
Be (0.0000, 0.0000, 0.0000) (multiplicity 1)  2 Cu 1.91, 4 Mo 2.13
Cu (0.0000, 0.0000, 0.5000) (multiplicity 1)  2 Be 1.91
Re (0.5000, 0.5000, 0.5000) (multiplicity 1)  8 Mo 2.86, 4 Cu 3.01
Mo (0.0000, 0.5000, 0.0000) (multiplicity 2)  2 Be 2.13

Which value of DOS(E_F) does entry 1 give?
3.88 states/eV/cell